Compound: YLuZnHg
Source: the Alexandria database
Functional: PBE
Structure: optimized geometry

a = 5.1233 Å, b = 5.1233 Å, c = 5.1233 Å
α = 60.00°, β = 60.00°, γ = 60.00°
Sites, in units of the cell vectors:
Y  0.0000  0.0000  0.0000
Lu  0.5000  0.5000  0.5000
Zn  0.7500  0.7500  0.7500
Hg  0.2500  0.2500  0.2500

- Energy of formation from the pure elements: -1.631 eV per formula unit
- Crystal system: cubic

---

Compound: LuZn2Hg
Source: the Alexandria database
Functional: PBE
Structure: optimized geometry

a = 3.5304 Å, b = 3.5304 Å, c = 6.5691 Å
α = 90.00°, β = 90.00°, γ = 90.00°
Sites, in units of the cell vectors:
Lu  0.0000  0.0000  0.0000
Zn  0.5000  0.5000  0.2625
Zn  0.5000  0.5000  0.7375
Hg  0.0000  0.0000  0.5000

- Energy of formation from the pure elements: -0.519 eV per formula unit
- Energy above the lowest structure with this stoichiometry: 91 meV per atom
- Crystal system: tetragonal

---

Compound: LuZn2Hg
Source: the Alexandria database
Functional: PBE
Structure: optimized geometry

a = 4.7678 Å, b = 4.7678 Å, c = 4.7678 Å
α = 60.00°, β = 60.00°, γ = 60.00°
Sites, in units of the cell vectors:
Lu  0.0000  0.0000  0.0000
Zn  0.2500  0.2500  0.2500
Zn  0.7500  0.7500  0.7500
Hg  0.5000  0.5000  0.5000

- Energy of formation from the pure elements: -0.795 eV per formula unit
- Energy above the lowest structure with this stoichiometry: 22 meV per atom
- Crystal system: cubic

---

Compound: Lu2ZnHg
Source: the Alexandria database
Functional: PBE
Structure: optimized geometry

a = 11.0321 Å, b = 11.0321 Å, c = 11.0321 Å
α = 17.76°, β = 17.76°, γ = 17.76°
Sites, in units of the cell vectors:
Lu  0.0921  0.0921  0.0921
Lu  0.9079  0.9079  0.9079
Zn  0.0000  0.0000  0.0000
Hg  0.5000  0.5000  0.5000

- Energy of formation from the pure elements: 0.509 eV per formula unit
- Energy above the lowest structure with this stoichiometry: 533 meV per atom
- Crystal system: trigonal

---

Compound: LuZnHg2
Source: the Alexandria database
Functional: PBE
Structure: optimized geometry

a = 4.9468 Å, b = 4.9468 Å, c = 4.9468 Å
α = 60.00°, β = 60.00°, γ = 60.00°
Sites, in units of the cell vectors:
Lu  0.0000  0.0000  0.0000
Zn  0.5000  0.5000  0.5000
Hg  0.2500  0.2500  0.2500
Hg  0.7500  0.7500  0.7500

- Energy of formation from the pure elements: -1.021 eV per formula unit
- Energy above the lowest structure with this stoichiometry: 0 meV per atom
- Crystal system: cubic

---

Compound: Lu2ZnHg
Source: the Alexandria database
Functional: PBE
Structure: optimized geometry

a = 3.5374 Å, b = 3.5374 Å, c = 7.2664 Å
α = 90.00°, β = 90.00°, γ = 90.00°
Sites, in units of the cell vectors:
Lu  0.0000  0.0000  0.2353
Lu  0.0000  0.0000  0.7647
Zn  0.5000  0.5000  0.0000
Hg  0.5000  0.5000  0.5000

- Energy of formation from the pure elements: -1.623 eV per formula unit
- Energy above the lowest structure with this stoichiometry: 0 meV per atom
- Crystal system: tetragonal

---

Compound: Lu2ZnHg
Source: the Alexandria database
Functional: PBE
Structure: optimized geometry

a = 5.0609 Å, b = 5.0609 Å, c = 5.0609 Å
α = 60.00°, β = 60.00°, γ = 60.00°
Sites, in units of the cell vectors:
Lu  0.2500  0.2500  0.2500
Lu  0.7500  0.7500  0.7500
Zn  0.0000  0.0000  0.0000
Hg  0.5000  0.5000  0.5000

- Energy of formation from the pure elements: -1.586 eV per formula unit
- Energy above the lowest structure with this stoichiometry: 9 meV per atom
- Crystal system: cubic

---

Compound: LuZnHg2
Source: the Alexandria database
Functional: PBE
Structure: optimized geometry

a = 4.5254 Å, b = 4.5254 Å, c = 4.2723 Å
α = 90.00°, β = 90.00°, γ = 90.00°
Sites, in units of the cell vectors:
Lu  0.0000  0.0000  0.0000
Zn  0.5000  0.5000  0.0000
Hg  0.0000  0.5000  0.5000
Hg  0.5000  0.0000  0.5000

- Energy of formation from the pure elements: -0.940 eV per formula unit
- Energy above the lowest structure with this stoichiometry: 20 meV per atom
- Crystal system: tetragonal

---

Compound: LuZn2Hg
Source: the Alexandria database
Functional: PBE
Structure: optimized geometry

a = 4.2405 Å, b = 4.2405 Å, c = 4.4864 Å
α = 90.00°, β = 90.00°, γ = 90.00°
Sites, in units of the cell vectors:
Lu  0.0000  0.0000  0.0000
Zn  0.0000  0.5000  0.5000
Zn  0.5000  0.0000  0.5000
Hg  0.5000  0.5000  0.0000

- Energy of formation from the pure elements: -0.885 eV per formula unit
- Energy above the lowest structure with this stoichiometry: 0 meV per atom
- Crystal system: tetragonal

---

Compound: LuZrZnHg
Source: the Alexandria database
Functional: PBE
Structure: optimized geometry

a = 4.9644 Å, b = 4.9644 Å, c = 4.9644 Å
α = 60.00°, β = 60.00°, γ = 60.00°
Sites, in units of the cell vectors:
Lu  0.0000  0.0000  0.0000
Zr  0.5000  0.5000  0.5000
Zn  0.2500  0.2500  0.2500
Hg  0.7500  0.7500  0.7500

- Energy of formation from the pure elements: -0.908 eV per formula unit
- Crystal system: cubic

---

Compound: LuZr2Hg
Source: the Alexandria database
Functional: PBE
Structure: optimized geometry

a = 3.2778 Å, b = 3.2778 Å, c = 8.8127 Å
α = 90.00°, β = 90.00°, γ = 90.00°
Sites, in units of the cell vectors:
Lu  0.0000  0.0000  0.0000
Zr  0.5000  0.5000  0.2634
Zr  0.5000  0.5000  0.7366
Hg  0.0000  0.0000  0.5000

- Energy of formation from the pure elements: -0.198 eV per formula unit
- Energy above the lowest structure with this stoichiometry: 46 meV per atom
- Crystal system: tetragonal

---

Compound: Lu2ZrHg
Source: the Alexandria database
Functional: PBE
Structure: optimized geometry

a = 4.6670 Å, b = 4.6670 Å, c = 4.4871 Å
α = 90.00°, β = 90.00°, γ = 90.00°
Sites, in units of the cell vectors:
Lu  0.0000  0.5000  0.0000
Lu  0.5000  0.0000  0.0000
Zr  0.0000  0.0000  0.5000
Hg  0.5000  0.5000  0.5000

- Energy of formation from the pure elements: -0.406 eV per formula unit
- Energy above the lowest structure with this stoichiometry: 133 meV per atom
- Crystal system: tetragonal

---

Compound: LuZr2Hg
Source: the Alexandria database
Functional: PBE
Structure: optimized geometry

a = 4.4565 Å, b = 4.4565 Å, c = 4.6516 Å
α = 90.00°, β = 90.00°, γ = 90.00°
Sites, in units of the cell vectors:
Lu  0.0000  0.0000  0.0000
Zr  0.0000  0.5000  0.5000
Zr  0.5000  0.0000  0.5000
Hg  0.5000  0.5000  0.0000

- Energy of formation from the pure elements: -0.381 eV per formula unit
- Energy above the lowest structure with this stoichiometry: 0 meV per atom
- Crystal system: tetragonal

---

Compound: LuZr2Hg
Source: the Alexandria database
Functional: PBE
Structure: optimized geometry

a = 11.5341 Å, b = 11.5341 Å, c = 11.5341 Å
α = 15.72°, β = 15.72°, γ = 15.72°
Sites, in units of the cell vectors:
Lu  0.0000  0.0000  0.0000
Zr  0.0920  0.0920  0.0920
Zr  0.9080  0.9080  0.9080
Hg  0.5000  0.5000  0.5000

- Energy of formation from the pure elements: 0.976 eV per formula unit
- Energy above the lowest structure with this stoichiometry: 339 meV per atom
- Crystal system: trigonal

---

Compound: LuZrHg
Source: the Alexandria database
Functional: PBE
Structure: optimized geometry

a = 5.0140 Å, b = 5.0140 Å, c = 3.4052 Å
α = 90.00°, β = 90.00°, γ = 120.00°
Sites, in units of the cell vectors:
Lu  0.0000  0.0000  0.0000
Zr  0.6667  0.3333  0.5000
Hg  0.3333  0.6667  0.5000

- Energy of formation from the pure elements: -0.094 eV per formula unit
- Crystal system: hexagonal

---

Compound: Lu2ZrHg
Source: the Alexandria database
Functional: PBE
Structure: optimized geometry

a = 3.4259 Å, b = 3.4259 Å, c = 8.5602 Å
α = 90.00°, β = 90.00°, γ = 90.00°
Sites, in units of the cell vectors:
Lu  0.0000  0.0000  0.2396
Lu  0.0000  0.0000  0.7604
Zr  0.5000  0.5000  0.5000
Hg  0.5000  0.5000  0.0000

- Energy of formation from the pure elements: -0.937 eV per formula unit
- Energy above the lowest structure with this stoichiometry: 0 meV per atom
- Crystal system: tetragonal

---

Compound: Mg5Hg4
Source: the Alexandria database
Functional: PBE
Structure: optimized geometry

a = 7.2374 Å, b = 7.2374 Å, c = 7.2374 Å
α = 94.59°, β = 94.59°, γ = 147.13°
Sites, in units of the cell vectors:
Mg  0.0000  0.0000  0.0000
Mg  0.0000  0.3264  0.3264
Mg  0.0000  0.6736  0.6736
Mg  0.3264  0.0000  0.3264
Mg  0.6736  0.0000  0.6736
Hg  0.3349  0.3349  0.6699
Hg  0.3349  0.6651  0.0000
Hg  0.6651  0.3349  0.0000
Hg  0.6651  0.6651  0.3301

- Energy of formation from the pure elements: -1.214 eV per formula unit
- Energy above the lowest structure with this stoichiometry: 73 meV per atom
- Crystal system: tetragonal

---

Compound: MgHg2
Source: the Alexandria database
Functional: PBE
Structure: optimized geometry

a = 5.3673 Å, b = 5.3673 Å, c = 7.1896 Å
α = 123.18°, β = 123.18°, γ = 57.61°
Sites, in units of the cell vectors:
Mg  0.1216  0.8784  0.7500
Mg  0.8784  0.1216  0.2500
Hg  0.2097  0.4582  0.2536
Hg  0.4582  0.2097  0.7536
Hg  0.5418  0.7903  0.2464
Hg  0.7903  0.5418  0.7464

- Energy of formation from the pure elements: -0.378 eV per formula unit
- Crystal system: monoclinic

---

Compound: MgHg
Source: the Alexandria database
Functional: PBE
Structure: optimized geometry

a = 4.9254 Å, b = 4.9254 Å, c = 5.7183 Å
α = 90.00°, β = 90.00°, γ = 120.00°
Sites, in units of the cell vectors:
Mg  0.3333  0.6667  0.2500
Mg  0.6667  0.3333  0.7500
Hg  0.3333  0.6667  0.7500
Hg  0.6667  0.3333  0.2500

- Energy of formation from the pure elements: 0.110 eV per formula unit
- Crystal system: hexagonal

---

Compound: MgHg
Source: the Alexandria database
Functional: PBE
Structure: optimized geometry

a = 5.6028 Å, b = 5.6028 Å, c = 5.6028 Å
α = 90.00°, β = 90.00°, γ = 90.00°
Sites, in units of the cell vectors:
Mg  0.0983  0.0983  0.0983
Mg  0.4017  0.9017  0.5983
Mg  0.5983  0.4017  0.9017
Mg  0.9017  0.5983  0.4017
Hg  0.0894  0.5894  0.9106
Hg  0.4106  0.4106  0.4106
Hg  0.5894  0.9106  0.0894
Hg  0.9106  0.0894  0.5894

- Energy of formation from the pure elements: -0.393 eV per formula unit
- Crystal system: cubic

---

Compound: Mg2Hg
Source: the Alexandria database
Functional: PBE
Structure: optimized geometry

a = 5.9221 Å, b = 5.9221 Å, c = 7.2433 Å
α = 104.83°, β = 104.83°, γ = 32.39°
Sites, in units of the cell vectors:
Mg  0.1433  0.1433  0.0350
Mg  0.1742  0.1742  0.6190
Mg  0.8258  0.8258  0.3810
Mg  0.8567  0.8567  0.9650
Hg  0.4678  0.4678  0.7146
Hg  0.5322  0.5322  0.2854

- Energy of formation from the pure elements: -0.428 eV per formula unit
- Crystal system: monoclinic

---

Compound: MgHg3
Source: the Alexandria database
Functional: PBE
Structure: optimized geometry

a = 8.5961 Å, b = 8.5961 Å, c = 9.1196 Å
α = 90.00°, β = 90.00°, γ = 120.00°
Sites, in units of the cell vectors:
Mg  0.0000  0.3238  0.0000
Mg  0.0000  0.6762  0.5000
Mg  0.3238  0.0000  0.0000
Mg  0.3238  0.3238  0.5000
Mg  0.6762  0.0000  0.5000
Mg  0.6762  0.6762  0.0000
Hg  0.0000  0.0000  0.4111
Hg  0.0000  0.0000  0.9111
Hg  0.0000  0.2825  0.6704
Hg  0.0000  0.3869  0.3225
Hg  0.0000  0.6131  0.8225
Hg  0.0000  0.7175  0.1704
Hg  0.2825  0.0000  0.6704
Hg  0.2825  0.2825  0.1704
Hg  0.3333  0.6667  0.0391
Hg  0.3333  0.6667  0.5391
Hg  0.3869  0.0000  0.3225
Hg  0.3869  0.3869  0.8225
Hg  0.6131  0.0000  0.8225
Hg  0.6131  0.6131  0.3225
Hg  0.6667  0.3333  0.0391
Hg  0.6667  0.3333  0.5391
Hg  0.7175  0.0000  0.1704
Hg  0.7175  0.7175  0.6704

- Energy of formation from the pure elements: -0.282 eV per formula unit
- Crystal system: hexagonal

---

Compound: MgHg
Source: the Alexandria database
Functional: PBE
Structure: optimized geometry

a = 7.1311 Å, b = 6.9011 Å, c = 5.7548 Å
α = 67.89°, β = 63.72°, γ = 48.39°
Sites, in units of the cell vectors:
Mg  0.0686  0.6814  0.0686
Mg  0.3186  0.9314  0.3186
Mg  0.6814  0.0686  0.6814
Mg  0.9314  0.3186  0.9314
Hg  0.1821  0.5679  0.5679
Hg  0.4321  0.8179  0.8179
Hg  0.5679  0.1821  0.1821
Hg  0.8179  0.4321  0.4321

- Energy of formation from the pure elements: -0.278 eV per formula unit
- Crystal system: orthorhombic

---

Compound: Mg7Hg3
Source: the Alexandria database
Functional: PBE
Structure: optimized geometry

a = 8.1905 Å, b = 8.1905 Å, c = 6.1678 Å
α = 107.77°, β = 107.77°, γ = 33.42°
Sites, in units of the cell vectors:
Mg  0.0000  0.0000  0.0000
Mg  0.2012  0.2012  0.6645
Mg  0.3828  0.3828  0.1258
Mg  0.4072  0.4072  0.6478
Mg  0.5928  0.5928  0.3522
Mg  0.6172  0.6172  0.8742
Mg  0.7988  0.7988  0.3355
Hg  0.0000  0.0000  0.5000
Hg  0.1937  0.1937  0.1771
Hg  0.8063  0.8063  0.8229

- Energy of formation from the pure elements: -1.718 eV per formula unit
- Crystal system: monoclinic

---

Compound: Mg2Hg7
Source: the Alexandria database
Functional: PBE
Structure: optimized geometry

a = 3.4428 Å, b = 3.4428 Å, c = 21.1833 Å
α = 90.00°, β = 90.00°, γ = 120.00°
Sites, in units of the cell vectors:
Mg  0.3333  0.6667  0.2839
Mg  0.6667  0.3333  0.7161
Hg  0.0000  0.0000  0.1801
Hg  0.0000  0.0000  0.5000
Hg  0.0000  0.0000  0.8199
Hg  0.3333  0.6667  0.0611
Hg  0.3333  0.6667  0.6138
Hg  0.6667  0.3333  0.3862
Hg  0.6667  0.3333  0.9389

- Energy of formation from the pure elements: -0.392 eV per formula unit
- Crystal system: trigonal

---

Compound: Mg5Hg
Source: the Alexandria database
Functional: PBE
Structure: optimized geometry

a = 5.0390 Å, b = 8.1488 Å, c = 8.1488 Å
α = 23.50°, β = 90.00°, γ = 90.00°
Sites, in units of the cell vectors:
Mg  0.0000  0.0000  0.0000
Mg  0.0000  0.3272  0.3272
Mg  0.5000  0.1166  0.1166
Mg  0.5000  0.4467  0.4467
Mg  0.5000  0.7801  0.7801
Hg  0.0000  0.6654  0.6654

- Energy of formation from the pure elements: -0.390 eV per formula unit
- Energy above the lowest structure with this stoichiometry: 24 meV per atom
- Crystal system: orthorhombic

---

Number 1: N(E_F) 3.36 states/eV per cell. Number 2: N(E_F) 1.93 states/eV per cell. Number 3: N(E_F) 2.65 states/eV per cell. Number 4: N(E_F) 2.86 states/eV per cell. Number 5: N(E_F) 1.69 states/eV per cell. Number 6: N(E_F) 3.36 states/eV per cell. Number 7: N(E_F) 2.73 states/eV per cell. Number 8: N(E_F) 2.51 states/eV per cell. Number 9: N(E_F) 2.15 states/eV per cell. Number 10: N(E_F) 3.88 states/eV per cell. Number 11: N(E_F) 5.02 states/eV per cell. Number 12: N(E_F) 5.04 states/eV per cell. Number 13: N(E_F) 5.51 states/eV per cell. Number 14: N(E_F) 5.46 states/eV per cell. Number 15: N(E_F) 3.15 states/eV per cell. Number 16: N(E_F) 4.04 states/eV per cell. Number 17: N(E_F) 3.09 states/eV per cell. Number 18: N(E_F) 1.97 states/eV per cell. Number 19: N(E_F) 2.08 states/eV per cell. Number 20: N(E_F) 2.49 states/eV per cell. Number 21: N(E_F) 1.85 states/eV per cell. Number 22: N(E_F) 9.06 states/eV per cell. Number 23: N(E_F) 3.05 states/eV per cell. Number 24: N(E_F) 3.31 states/eV per cell. Number 25: N(E_F) 2.79 states/eV per cell. Number 26: N(E_F) 2.70 states/eV per cell.